# NbAlFe2C PBE-GGA optimized geometry
data_NbAlFe2C
_space_group_name_H-M_alt 'P 4/m m m'
_space_group_IT_number 123
_space_group_name_Hall '-P 4 2'
_cell_length_a 3.860
_cell_length_b 3.860
_cell_length_c 4.332
_cell_angle_alpha 90.00
_cell_angle_beta 90.00
_cell_angle_gamma 90.00
loop_
_atom_site_label
_atom_site_fract_x
_atom_site_fract_y
_atom_site_fract_z
_atom_site_occupancy
Nb1 0.000 0.000 0.000 1
Al1 0.500 0.500 0.000 1
Fe1 0.000 0.500 0.500 1
C1 0.000 0.000 0.500 1
# N(E_F) = 4.19 states/eV/f.u.
# final energy = -8.112 eV per atom
# ΔH_f (0 K) = -2.75 kcal/mol of atoms